# Tl6IClO2, optimized geometry, DFT PBE
# **DOS at the Fermi energy**: 0.000 states/eV/atom
# **Formation energy without anion corrections**: -628.1 meV/atom
# **Crystal system**: monoclinic
data_Tl6IClO2
_space_group_name_H-M_alt 'C 1 2/c 1'
_space_group_IT_number 15
_cell_length_a 15.626
_cell_length_b 13.739
_cell_length_c 6.696
_cell_angle_alpha 90.00
_cell_angle_beta 114.54
_cell_angle_gamma 90.00
loop_
_space_group_symop_operation_xyz
'x,y,z'
'-x,-y,-z'
'-x,y,-z+1/2'
'x,-y,z+1/2'
'x+1/2,y+1/2,z'
'-x+1/2,-y+1/2,-z'
'-x+1/2,y+1/2,-z+1/2'
'x+1/2,-y+1/2,z+1/2'
loop_
_atom_site_label
_atom_site_type_symbol
_atom_site_fract_x
_atom_site_fract_y
_atom_site_fract_z
Tl1 Tl 0.117 0.071 0.026
Tl2 Tl 0.146 0.298 0.780
Tl3 Tl 0.172 0.417 0.301
I1 I 0.000 0.207 0.250
Cl1 Cl 0.000 0.440 0.750
O1 O 0.228 0.424 0.712

=====

# SbTe2Rh, optimized geometry, DFT PBE
# **DOS at the Fermi energy**: 0.275 states/eV/atom
# **Formation energy without anion corrections**: -157.8 meV/atom
# **Crystal system**: monoclinic
data_SbTe2Rh
_space_group_name_H-M_alt 'C 1 m 1'
_space_group_IT_number 8
_cell_length_a 9.386
_cell_length_b 3.886
_cell_length_c 7.185
_cell_angle_alpha 90.00
_cell_angle_beta 113.08
_cell_angle_gamma 90.00
loop_
_space_group_symop_operation_xyz
'x,y,z'
'x,-y,z'
'x+1/2,y+1/2,z'
'x+1/2,-y+1/2,z'
loop_
_atom_site_label
_atom_site_type_symbol
_atom_site_fract_x
_atom_site_fract_y
_atom_site_fract_z
Sb1 Sb 0.000 0.000 0.000
Te1 Te 0.132 0.000 0.707
Te2 Te 0.307 0.000 0.297
Rh1 Rh 0.214 0.500 0.002

=====

# Na3Tl4Sn2, optimized geometry, DFT PBE
# **DOS at the Fermi energy**: 0.462 states/eV/atom
# **Energy of formation**: -0.096 eV/atom
# **Crystal system**: monoclinic
# **Energy relative to the lowest polymorph listed for this composition**: 0 meV/atom
data_Na3Tl4Sn2
_space_group_name_H-M_alt 'C 1 2/m 1'
_space_group_IT_number 12
_cell_length_a 15.715
_cell_length_b 4.044
_cell_length_c 8.535
_cell_angle_alpha 90.00
_cell_angle_beta 107.94
_cell_angle_gamma 90.00
loop_
_space_group_symop_operation_xyz
'x,y,z'
'-x,-y,-z'
'-x,y,-z'
'x,-y,z'
'x+1/2,y+1/2,z'
'-x+1/2,-y+1/2,-z'
'-x+1/2,y+1/2,-z'
'x+1/2,-y+1/2,z'
loop_
_atom_site_label
_atom_site_type_symbol
_atom_site_fract_x
_atom_site_fract_y
_atom_site_fract_z
Na1 Na 0.000 0.000 0.000
Na2 Na 0.124 0.000 0.657
Tl1 Tl 0.037 0.500 0.322
Tl2 Tl 0.208 0.000 0.318
Sn1 Sn 0.175 0.500 0.991

=====

# HgI, optimized geometry, DFT PBE
# **DOS at the Fermi energy**: 0.992 states/eV/atom
# **Formation energy without anion corrections**: 7.9 meV/atom
# **Crystal system**: cubic
# **Energy relative to the lowest polymorph listed for this composition**: 250 meV/atom
data_HgI
_space_group_name_H-M_alt 'F -4 3 m'
_space_group_IT_number 216
_space_group_name_Hall 'F -4 2 3'
_cell_length_a 7.299
_cell_length_b 7.299
_cell_length_c 7.299
_cell_angle_alpha 90.00
_cell_angle_beta 90.00
_cell_angle_gamma 90.00
loop_
_atom_site_label
_atom_site_type_symbol
_atom_site_fract_x
_atom_site_fract_y
_atom_site_fract_z
Hg1 Hg 0.000 0.000 0.000
I1 I 0.250 0.250 0.250

=====

# PrYThTl, optimized geometry, DFT PBE
# **DOS at the Fermi energy**: 1.626 states/eV/atom
# **Energy of formation**: 0.044 eV/atom
# **Crystal system**: cubic
data_PrYThTl
_space_group_name_H-M_alt 'F -4 3 m'
_space_group_IT_number 216
_space_group_name_Hall 'F -4 2 3'
_cell_length_a 7.865
_cell_length_b 7.865
_cell_length_c 7.865
_cell_angle_alpha 90.00
_cell_angle_beta 90.00
_cell_angle_gamma 90.00
loop_
_atom_site_label
_atom_site_type_symbol
_atom_site_fract_x
_atom_site_fract_y
_atom_site_fract_z
Pr1 Pr 0.000 0.000 0.000
Y1 Y 0.000 0.000 0.500
Th1 Th 0.250 0.250 0.250
Tl1 Tl 0.250 0.250 0.750

=====

# Sm2HgPd, optimized geometry, DFT PBE
# **DOS at the Fermi energy**: 0.690 states/eV/atom
# **Energy of formation**: -0.595 eV/atom
# **Crystal system**: cubic
# **Energy relative to the lowest polymorph listed for this composition**: 36 meV/atom
data_Sm2HgPd
_space_group_name_H-M_alt 'F m -3 m'
_space_group_IT_number 225
_space_group_name_Hall '-F 4 2 3'
_cell_length_a 7.379
_cell_length_b 7.379
_cell_length_c 7.379
_cell_angle_alpha 90.00
_cell_angle_beta 90.00
_cell_angle_gamma 90.00
loop_
_atom_site_label
_atom_site_type_symbol
_atom_site_fract_x
_atom_site_fract_y
_atom_site_fract_z
Sm1 Sm 0.250 0.250 0.250
Hg1 Hg 0.000 0.000 0.000
Pd1 Pd 0.000 0.000 0.500

=====

# ErMgScRe, optimized geometry, DFT PBE
# **DOS at the Fermi energy**: 0.766 states/eV/atom
# **Energy of formation**: 0.027 eV/atom
# **Crystal system**: cubic
data_ErMgScRe
_space_group_name_H-M_alt 'F -4 3 m'
_space_group_IT_number 216
_space_group_name_Hall 'F -4 2 3'
_cell_length_a 6.876
_cell_length_b 6.876
_cell_length_c 6.876
_cell_angle_alpha 90.00
_cell_angle_beta 90.00
_cell_angle_gamma 90.00
loop_
_atom_site_label
_atom_site_type_symbol
_atom_site_fract_x
_atom_site_fract_y
_atom_site_fract_z
Er1 Er 0.000 0.000 0.000
Mg1 Mg 0.250 0.250 0.750
Sc1 Sc 0.000 0.000 0.500
Re1 Re 0.250 0.250 0.250

=====

# MnHgBr2, optimized geometry, DFT PBE
# **DOS at the Fermi energy**: 0.056 states/eV/atom
# **Formation energy without anion corrections**: 53.8 meV/atom
# **Crystal system**: cubic
# **Energy relative to the lowest polymorph listed for this composition**: 621 meV/atom
data_MnHgBr2
_space_group_name_H-M_alt 'F m -3 m'
_space_group_IT_number 225
_space_group_name_Hall '-F 4 2 3'
_cell_length_a 7.390
_cell_length_b 7.390
_cell_length_c 7.390
_cell_angle_alpha 90.00
_cell_angle_beta 90.00
_cell_angle_gamma 90.00
loop_
_atom_site_label
_atom_site_type_symbol
_atom_site_fract_x
_atom_site_fract_y
_atom_site_fract_z
Mn1 Mn 0.000 0.000 0.000
Hg1 Hg 0.000 0.000 0.500
Br1 Br 0.250 0.250 0.250

=====

# AlSe3O, optimized geometry, DFT PBE
# **DOS at the Fermi energy**: 0.518 states/eV/atom
# **Formation energy without anion corrections**: 363.9 meV/atom
# **Crystal system**: cubic
# **Energy relative to the lowest polymorph listed for this composition**: 0 meV/atom
data_AlSe3O
_space_group_name_H-M_alt 'P m -3 m'
_space_group_IT_number 221
_space_group_name_Hall '-P 4 2 3'
_cell_length_a 4.508
_cell_length_b 4.508
_cell_length_c 4.508
_cell_angle_alpha 90.00
_cell_angle_beta 90.00
_cell_angle_gamma 90.00
loop_
_atom_site_label
_atom_site_type_symbol
_atom_site_fract_x
_atom_site_fract_y
_atom_site_fract_z
Al1 Al 0.000 0.000 0.000
Se1 Se 0.000 0.500 0.500
O1 O 0.500 0.500 0.500

=====

# Pm4Si2Sn, optimized geometry, DFT PBE
# **DOS at the Fermi energy**: 0.473 states/eV/atom
# **Formation energy without anion corrections**: -533.2 meV/atom
# **Crystal system**: trigonal
data_Pm4Si2Sn
_space_group_name_H-M_alt 'R -3 m'
_space_group_IT_number 166
_space_group_name_Hall '-R 3 2"'
_cell_length_a 4.8077
_cell_length_b 4.8077
_cell_length_c 30.7210
_cell_angle_alpha 90.00
_cell_angle_beta 90.00
_cell_angle_gamma 120.00
loop_
_atom_site_label
_atom_site_type_symbol
_atom_site_fract_x
_atom_site_fract_y
_atom_site_fract_z
Pm1 Pm 0.0000 0.0000 0.1157
Pm2 Pm 0.0000 0.0000 0.2982
Si1 Si 0.0000 0.0000 0.4024
Sn1 Sn 0.0000 0.0000 0.5000

=====

# TbPrPb, optimized geometry, DFT PBE
# **DOS at the Fermi energy**: 1.258 states/eV/atom
# **Energy of formation**: -0.447 eV/atom
# **Crystal system**: monoclinic
# **Energy relative to the lowest polymorph listed for this composition**: 0 meV/atom
data_TbPrPb
_space_group_name_H-M_alt 'C 1 2/m 1'
_space_group_IT_number 12
_cell_length_a 6.612
_cell_length_b 6.612
_cell_length_c 8.830
_cell_angle_alpha 90.00
_cell_angle_beta 90.05
_cell_angle_gamma 90.00
loop_
_space_group_symop_operation_xyz
'x,y,z'
'-x,-y,-z'
'-x,y,-z'
'x,-y,z'
'x+1/2,y+1/2,z'
'-x+1/2,-y+1/2,-z'
'-x+1/2,y+1/2,-z'
'x+1/2,-y+1/2,z'
loop_
_atom_site_label
_atom_site_type_symbol
_atom_site_fract_x
_atom_site_fract_y
_atom_site_fract_z
Tb1 Tb 0.000 0.250 0.000
Pr1 Pr 0.249 0.000 0.654
Pb1 Pb 0.249 0.500 0.724

=====

# Sr2YPdPt, optimized geometry, DFT PBE
# **DOS at the Fermi energy**: 1.337 states/eV/atom
# **Energy of formation**: 0.664 eV/atom
# **Crystal system**: tetragonal
data_Sr2YPdPt
_space_group_name_H-M_alt 'P 4/m m m'
_space_group_IT_number 123
_space_group_name_Hall '-P 4 2'
_cell_length_a 6.361
_cell_length_b 6.361
_cell_length_c 4.929
_cell_angle_alpha 90.00
_cell_angle_beta 90.00
_cell_angle_gamma 90.00
loop_
_atom_site_label
_atom_site_type_symbol
_atom_site_fract_x
_atom_site_fract_y
_atom_site_fract_z
Sr1 Sr 0.000 0.500 0.000
Y1 Y 0.000 0.000 0.000
Pd1 Pd 0.500 0.500 0.500
Pt1 Pt 0.000 0.000 0.500

=====

Number 1: M_tot 0.00 μB/cell. Number 2: M_tot 0.00 μB/cell. Number 3: M_tot 0.00 μB/cell. Number 4: M_tot 0.00 μB/cell. Number 5: M_tot 0.00 μB/cell. Number 6: M_tot 0.00 μB/cell. Number 7: M_tot 0.00 μB/cell. Number 8: M_tot 20.00 μB/cell. Number 9: M_tot 0.00 μB/cell. Number 10: M_tot 0.00 μB/cell. Number 11: M_tot 0.00 μB/cell. Number 12: M_tot 1.19 μB/cell.